A geometry-optimized Pu2WN6 structure, computed with PBE-GGA.

```
Pu2WN6
1.0
4.861 0.000 0.000
0.000 4.861 0.000
0.000 0.000 9.938
Pu W N
4 2 12
direct
0.000 0.000 0.170
0.000 0.000 0.830
0.500 0.500 0.330
0.500 0.500 0.670
0.000 0.000 0.500
0.500 0.500 0.000
0.187 0.187 0.342
0.187 0.187 0.658
0.201 0.201 0.000
0.299 0.701 0.500
0.313 0.687 0.158
0.313 0.687 0.842
0.687 0.313 0.158
0.687 0.313 0.842
0.701 0.299 0.500
0.799 0.799 0.000
0.813 0.813 0.342
0.813 0.813 0.658
```

Results
- Raw formation energy: -36.5 kJ per mole of atoms

A geometry-optimized Ca2GaPdAu6 structure, computed with PBE-GGA.

```
Ca2GaPdAu6
1.0
0.000 4.999 4.999
4.999 0.000 4.999
4.999 4.999 0.000
Ca Ga Pd Au
2 1 1 6
direct
0.250 0.250 0.250
0.750 0.750 0.750
0.000 0.000 0.000
0.500 0.500 0.500
0.244 0.244 0.756
0.244 0.756 0.244
0.244 0.756 0.756
0.756 0.244 0.244
0.756 0.244 0.756
0.756 0.756 0.244
```

Results
- Formation energy from the elements: -0.22 eV per atom

A geometry-optimized Rb3Sc3VS8 structure, computed with PBE-GGA.

```
Rb3Sc3VS8
1.0
3.733 2.155 7.792
-3.733 2.155 7.792
0.000 -4.311 7.792
Rb Sc V S
3 3 1 8
direct
0.000 0.500 0.500
0.500 0.000 0.500
0.500 0.500 0.000
0.000 0.000 0.500
0.000 0.500 0.000
0.500 0.000 0.000
0.500 0.500 0.500
0.228 0.228 0.228
0.243 0.716 0.716
0.284 0.284 0.757
0.284 0.757 0.284
0.716 0.243 0.716
0.716 0.716 0.243
0.757 0.284 0.284
0.772 0.772 0.772
```

Results
- Raw formation energy: -145.7 kJ per mole of atoms

A geometry-optimized TaOs2Ru structure, computed with PBE-GGA.

```
TaOs2Ru
1.0
0.000 3.138 3.138
3.138 0.000 3.138
3.138 3.138 0.000
Ta Os Ru
1 2 1
direct
0.000 0.000 0.000
0.250 0.250 0.250
0.750 0.750 0.750
0.500 0.500 0.500
```

Results
- Formation energy from the elements: 0.27 eV per atom
- Distance to the lowest polymorph of the same formula: 428 meV per atom

A geometry-optimized BaCo2As structure, computed with PBE-GGA.

```
BaCo2As
1.0
3.226 -4.283 0.000
3.226 4.283 0.000
-1.721 0.000 2.854
Ba Co As
1 2 1
direct
0.000 0.000 0.000
0.000 0.500 0.500
0.500 0.000 0.500
0.500 0.500 0.000
```

Results
- Formation energy from the elements: 0.72 eV per atom

A geometry-optimized HfFeCuS2 structure, computed with PBE-GGA.

```
HfFeCuS2
1.0
4.858 0.000 0.000
0.000 4.858 0.000
0.000 0.000 4.972
Hf Fe Cu S
1 1 1 2
direct
0.000 0.000 0.000
0.500 0.500 0.500
0.000 0.000 0.500
0.000 0.500 0.000
0.500 0.000 0.000
```

Results
- Raw formation energy: 39.7 kJ per mole of atoms

A geometry-optimized Th2ZnGa2Ir5 structure, computed with PBE-GGA.

```
Th2ZnGa2Ir5
1.0
9.811 0.000 0.000
0.000 9.811 0.000
0.000 0.000 3.720
Th Zn Ga Ir
4 2 4 10
direct
0.177 0.323 0.000
0.323 0.823 0.000
0.677 0.177 0.000
0.823 0.677 0.000
0.000 0.000 0.000
0.500 0.500 0.000
0.122 0.622 0.000
0.378 0.122 0.000
0.622 0.878 0.000
0.878 0.378 0.000
0.000 0.500 0.500
0.067 0.794 0.500
0.206 0.067 0.500
0.294 0.567 0.500
0.433 0.294 0.500
0.500 0.000 0.500
0.567 0.706 0.500
0.706 0.433 0.500
0.794 0.933 0.500
0.933 0.206 0.500
```

Results
- Formation energy from the elements: -0.57 eV per atom

A geometry-optimized KY2Mn structure, computed with PBE-GGA.

```
KY2Mn
1.0
-3.901 3.901 5.533
3.901 -3.901 5.533
3.901 3.901 -5.533
K Y Mn
2 4 2
direct
0.375 0.625 0.750
0.625 0.375 0.250
0.000 0.000 0.000
0.000 0.000 0.500
0.000 0.500 0.000
0.500 0.000 0.500
0.125 0.875 0.250
0.875 0.125 0.750
```

Results
- Formation energy from the elements: 0.74 eV per atom
- Distance to the lowest polymorph of the same formula: 487 meV per atom

A geometry-optimized BeNi2Te structure, computed with PBE-GGA.

```
BeNi2Te
1.0
-1.824 1.829 3.922
1.824 -1.829 3.922
1.824 1.829 -3.922
Be Ni Te
1 2 1
direct
0.000 0.000 0.000
0.248 0.748 0.500
0.499 0.499 0.000
0.750 0.250 0.500
```

Results
- Raw formation energy: 9.8 kJ per mole of atoms
- Distance to the lowest polymorph of the same formula: 129 meV per atom

A geometry-optimized LiPm2Dy structure, computed with PBE-GGA.

```
LiPm2Dy
1.0
3.639 0.000 0.000
0.000 3.639 0.000
0.000 0.000 9.126
Li Pm Dy
1 2 1
direct
0.000 0.000 0.000
0.500 0.500 0.229
0.500 0.500 0.771
0.000 0.000 0.500
```

Results
- Formation energy from the elements: 0.07 eV per atom
- Distance to the lowest polymorph of the same formula: 0 meV per atom

A geometry-optimized Ga3Tc structure, computed with PBE-GGA.

```
Ga3Tc
1.0
-1.914 1.914 4.094
1.914 -1.914 4.094
1.914 1.914 -4.094
Ga Tc
3 1
direct
0.000 0.000 0.000
0.250 0.750 0.500
0.750 0.250 0.500
0.500 0.500 0.000
```

Results
- Formation energy from the elements: -0.06 eV per atom
- Distance to the lowest polymorph of the same formula: 147 meV per atom

A geometry-optimized HoMg5Tl8 structure, computed with PBE-GGA.

```
HoMg5Tl8
1.0
-4.543 4.543 4.524
4.543 -4.543 4.524
4.543 4.543 -4.524
Ho Mg Tl
1 5 8
direct
0.000 0.000 0.000
0.223 0.635 0.160
0.365 0.525 0.588
0.475 0.063 0.840
0.750 0.250 0.500
0.937 0.777 0.412
0.116 0.689 0.765
0.158 0.258 0.765
0.311 0.075 0.427
0.493 0.393 0.235
0.607 0.842 0.100
0.648 0.884 0.573
0.742 0.507 0.900
0.925 0.352 0.235
```

Results
- Formation energy from the elements: -0.01 eV per atom